Entry from the Alexandria database: BaOs3S after structural relaxation (PBE).

Calculated values
Crystal system   cubic
E above lowest polymorph   0.0 kJ/mol of atoms
Symmetry   Pm-3m (221)
Formation energy from raw total energies   1.06 eV/atom
M_tot   0.0 μB/f.u.

Unit cell a=4.5693 b=4.5693 c=4.5693 alpha=90.00 beta=90.00 gamma=90.00
With the nearest neighbours (Å) after each atom.
Atoms (fractional coordinates):
S 0.0000 0.0000 0.0000  6 Os 2.28
Os 0.0000 0.5000 0.0000  2 S 2.28
Os 0.0000 0.0000 0.5000  2 S 2.28
Os 0.5000 0.0000 0.0000  2 S 2.28
Ba 0.5000 0.5000 0.5000  12 Os 3.23


Entry from the Alexandria database: Si2BrF after structural relaxation (PBE).

Calculated values
Crystal system   tetragonal
E above lowest polymorph   0.0 kJ/mol of atoms
Symmetry   I-42d (122)
Formation energy from raw total energies   -0.22 eV/atom
M_tot   0.0 μB/f.u.

Unit cell a=4.4124 b=4.4124 c=8.6800 alpha=75.28 beta=75.28 gamma=90.00
With the nearest neighbours (Å) after each atom.
Atoms (fractional coordinates):
Si 0.5031 0.1250 0.2500  2 F 2.37, 2 Si 2.48
Si 0.2469 0.6250 0.2500  2 F 2.37, 2 Si 2.48
Si 0.3750 0.4969 0.7500  2 F 2.37, 2 Si 2.48
Si 0.8750 0.7531 0.7500  2 F 2.37, 2 Si 2.48
Br 0.0000 0.0000 0.0000  4 Si 2.83, 4 F 3.12
Br 0.7500 0.2500 0.5000  4 Si 2.83, 4 F 3.12
F 0.5000 0.5000 0.0000  4 Si 2.37
F 0.2500 0.7500 0.5000  4 Si 2.37